No. 1
## Zn3Pt (PBE-GGA)

Data for a relaxed structure of Zn3Pt.

## Properties
- ΔH_f (0 K): -30 kJ per mole of atoms

The structure in CIF format:
```
data_Zn3Pt
_symmetry_space_group_name_H-M 'P m m m'
_symmetry_Int_Tables_number 47
_symmetry_space_group_name_Hall '-P 2 2'
_cell_length_a 2.869
_cell_length_b 3.843
_cell_length_c 5.348
_cell_angle_alpha 90.00
_cell_angle_beta 90.00
_cell_angle_gamma 90.00
loop_
_atom_site_label
_atom_site_type_symbol
_atom_site_fract_x
_atom_site_fract_y
_atom_site_fract_z
_atom_site_occupancy
Zn1 Zn 0.000 0.000 0.000 1
Zn2 Zn 0.500 0.500 0.255 1
Pt1 Pt 0.000 0.000 0.500 1
```


No. 2
## Zn3Pt (PBE-GGA)

Data for a relaxed structure of Zn3Pt.

## Properties
- ΔH_f (0 K): -25 kJ per mole of atoms

The structure in CIF format:
```
data_Zn3Pt
_symmetry_space_group_name_H-M 'R -3 m'
_symmetry_Int_Tables_number 166
_symmetry_space_group_name_Hall '-R 3 2"'
_cell_length_a 8.5891
_cell_length_b 8.5891
_cell_length_c 2.7763
_cell_angle_alpha 90.00
_cell_angle_beta 90.00
_cell_angle_gamma 120.00
loop_
_atom_site_label
_atom_site_type_symbol
_atom_site_fract_x
_atom_site_fract_y
_atom_site_fract_z
_atom_site_occupancy
Zn1 Zn 0.0000 0.5000 0.0000 1
Pt1 Pt 0.0000 0.0000 0.0000 1
```